Density functional theory data (GGA-PBE) for a geometry-optimized HfTa2NbBr structure.

Calculated values
As for the formation energy without anion corrections: 189 kJ/mol of atoms. For the theoretical density, the calculation gives 9.7 g/cm3. The calculation puts the electronic total energy at -35.628 eV per cell.

Unit cell a=5.016 b=4.859 c=5.016 alpha=90.00 beta=90.00 gamma=90.00
Positions (direct):
1 Nb 0.500 0.500 0.500
2 Hf 0.000 0.000 0.000
3 Br 0.000 0.500 0.000
4 Ta 0.000 0.000 0.500
5 Ta 0.500 0.000 0.000

Density functional theory data (GGA-PBE) for a geometry-optimized Nd8Ga2Pd structure.

Calculated values
For the theoretical density, the calculation gives 7.2 g/cm3. The calculation puts the electronic total energy at -53.001 eV per cell. Its polymorph energy (0 for the lowest one) is 0 meV/atom. The calculated formation energy is -0.33 eV per atom.

Unit cell a=5.089 b=6.888 c=9.812 alpha=101.70 beta=105.03 gamma=90.00
Positions (direct):
1 Nd 0.407 0.536 0.814
2 Nd 0.655 0.978 0.311
3 Nd 0.792 0.686 0.583
4 Nd 0.977 0.225 0.954
5 Nd 0.208 0.314 0.417
6 Nd 0.345 0.022 0.689
7 Nd 0.593 0.464 0.186
8 Nd 0.023 0.775 0.046
9 Ga 0.813 0.248 0.626
10 Ga 0.187 0.752 0.374
11 Pd 0.500 0.000 0.000

Density functional theory data (GGA-PBE) for a geometry-optimized LiPuBi2O6 structure.

Calculated values
As for the formation energy without anion corrections: -177 kJ/mol of atoms. For the theoretical density, the calculation gives 8.5 g/cm3. The calculation puts the electronic total energy at -72.130 eV per cell.

Unit cell a=5.884 b=5.884 c=6.049 alpha=60.90 beta=60.89 gamma=59.99
Each line ends with the local moment (μB).
Positions (direct):
1 Li 0.801 0.801 0.597  0.00
2 Pu 0.319 0.319 0.043  3.40
3 Bi 0.529 0.530 0.411  0.02
4 Bi 0.022 0.021 0.936  0.01
5 O 0.600 0.190 0.246  -0.07
6 O 0.190 0.964 0.246  -0.07
7 O 0.964 0.600 0.246  -0.07
8 O 0.450 0.670 0.763  -0.07
9 O 0.670 0.117 0.763  -0.07
10 O 0.117 0.450 0.763  -0.07

Density functional theory data (GGA-PBE) for a geometry-optimized Ni4SnAs structure.

Calculated values
For the theoretical density, the calculation gives 8.6 g/cm3. The calculation puts the electronic total energy at -64.904 eV per cell. The calculated formation energy is -0.11 eV per atom.

Unit cell a=4.346 b=6.106 c=6.862 alpha=97.13 beta=100.77 gamma=108.97
Positions (direct):
1 Ni 0.568 0.028 0.835
2 Ni 0.832 0.377 0.146
3 Ni 0.432 0.972 0.165
4 Ni 0.168 0.623 0.854
5 Ni 0.941 0.864 0.632
6 Ni 0.465 0.581 0.333
7 Ni 0.059 0.136 0.368
8 Ni 0.535 0.419 0.667
9 Sn 0.793 0.756 0.046
10 Sn 0.207 0.244 0.954
11 As 0.500 0.000 0.500
12 As 0.000 0.500 0.500